A plane-wave DFT calculation with PBE was carried out for a geometry-optimized SrHgMoPd2 structure.

## Properties
- space group = P4/mmm, No. 123
- E_tot (eV/cell) = -21.52
- excess energy over the best structure of this formula in the dataset (eV/atom) = 0.0000

Geometry as POSCAR:
```
SrHgMoPd2
1.0
4.900 0.000 0.000
0.000 5.342 0.000
0.000 0.000 4.900
Hg Pd Sr Mo
1 2 1 1
Cartesian
0.000 2.671 0.000 Hg
2.450 0.000 0.000 Pd
0.000 0.000 2.450 Pd
2.450 2.671 2.450 Sr
0.000 0.000 0.000 Mo
```


A plane-wave DFT calculation with PBE was carried out for a geometry-optimized FePC3 structure.

## Properties
- space group = Pm-3m, No. 221
- E_tot (eV/cell) = -30.63
- excess energy over the best structure of this formula in the dataset (eV/atom) = 1.8604

Geometry as POSCAR:
```
FePC3
1.0
-3.423 0.972 -0.288
-0.607 -2.777 -2.160
-0.812 -2.022 2.828
Fe C P
1 3 1
Cartesian
-2.421 -1.913 0.190 Fe
-0.406 -1.011 1.414 C
-0.303 -1.388 -1.080 C
-1.711 0.486 -0.144 C
0.000 0.000 0.000 P
```


A plane-wave DFT calculation with PBE was carried out for a geometry-optimized PmHgPO4 structure.

## Properties
- space group = C2/m, No. 12
- E_tot (eV/cell) = -94.90
- energy relative to the elements, uncorrected (meV per atom) = -2451

Geometry as POSCAR:
```
PmHgPO4
1.0
6.398 0.533 -0.418
2.622 5.860 -0.418
1.396 0.990 6.487
Hg O P Pm
2 8 2 2
Cartesian
9.808 6.952 3.980 Hg
0.609 0.431 1.670 Hg
4.851 3.439 1.166 O
7.071 5.012 2.740 O
6.643 6.208 4.968 O
3.346 2.371 2.910 O
8.058 4.212 4.968 O
5.565 3.945 4.484 O
2.359 3.171 0.682 O
3.774 1.176 0.682 O
6.800 4.820 4.231 P
3.616 2.563 1.419 P
6.620 4.692 0.530 Pm
3.796 2.691 5.120 Pm
```


A plane-wave DFT calculation with PBE was carried out for a geometry-optimized Ca2YAl structure.

## Properties
- space group = P2/m, No. 10
- E_tot (eV/cell) = -14.13

Geometry as POSCAR:
```
Ca2YAl
1.0
-1.193 -2.230 -4.329
0.796 -3.160 1.408
-5.646 -3.789 3.507
Ca Y Al
2 1 1
Cartesian
-2.549 -3.495 2.502 Ca
-5.522 -3.769 3.463 Ca
-1.809 -2.852 -0.936 Y
-4.234 -6.327 1.522 Al
```


A plane-wave DFT calculation with PBE was carried out for a geometry-optimized NiBP structure.

## Properties
- space group = Pmm2, No. 25
- E_tot (eV/cell) = -17.70
- excess energy over the best structure of this formula in the dataset (eV/atom) = 0.2201

Geometry as POSCAR:
```
NiBP
1.0
-2.766 0.691 -1.105
-0.361 -2.503 -0.661
-1.629 -0.722 3.626
Ni P B
1 1 1
Cartesian
-3.067 -1.572 2.464 Ni
-2.020 0.063 0.866 P
-1.106 -0.490 2.462 B
```


A plane-wave DFT calculation with PBE was carried out for a geometry-optimized Ho2GaOs structure.

## Properties
- space group = Fm-3m, No. 225
- E_tot (eV/cell) = -24.93

Geometry as POSCAR:
```
Ho2GaOs
1.0
-0.107 -2.483 -4.226
0.775 -4.841 -0.019
-3.702 -3.071 -0.945
Ga Os Ho
1 1 2
Cartesian
-0.759 -2.599 -1.298 Ga
-2.276 -7.796 -3.893 Os
-1.517 -5.197 -2.595 Ho
0.000 0.000 0.000 Ho
```


A plane-wave DFT calculation with PBE was carried out for a geometry-optimized SbH3Pd6 structure.

## Properties
- space group = P2_1/m, No. 11
- E_tot (eV/cell) = -93.49
- excess energy over the best structure of this formula in the dataset (eV/atom) = 0.0000

Geometry as POSCAR:
```
SbH3Pd6
1.0
2.998 0.000 0.000
0.000 9.743 0.379
0.000 -2.904 8.419
Pd H Sb
12 6 2
Cartesian
0.750 3.128 7.908 Pd
0.750 1.238 0.118 Pd
2.249 5.601 8.680 Pd
2.249 3.711 0.890 Pd
0.750 7.036 4.479 Pd
2.249 -0.196 4.319 Pd
2.249 5.162 6.018 Pd
0.750 1.678 2.780 Pd
2.249 2.474 5.346 Pd
0.750 0.494 6.749 Pd
2.249 6.346 2.049 Pd
0.750 4.365 3.452 Pd
2.249 4.247 4.453 H
0.750 2.592 4.345 H
0.750 4.770 7.107 H
2.249 2.144 7.251 H
0.750 4.695 1.547 H
2.249 2.069 1.691 H
2.249 -1.917 6.337 Sb
0.750 8.756 2.461 Sb
```


A plane-wave DFT calculation with PBE was carried out for a geometry-optimized SrOs structure.

## Properties
- space group = P6_3/mmc, No. 194
- E_tot (eV/cell) = -17.22

Geometry as POSCAR:
```
SrOs
1.0
5.329 0.000 0.000
-2.664 4.615 0.000
0.000 0.000 6.083
Os Sr
2 2
Cartesian
0.000 3.077 4.562 Os
2.664 1.538 1.521 Os
0.000 3.077 1.521 Sr
2.664 1.538 4.562 Sr
```


A plane-wave DFT calculation with PBE was carried out for a geometry-optimized KInIr3 structure.

## Properties
- space group = Pm-3m, No. 221
- E_tot (eV/cell) = -16.53
- excess energy over the best structure of this formula in the dataset (eV/atom) = 1.0581

Geometry as POSCAR:
```
KInIr3
1.0
-2.563 2.334 3.276
1.865 -2.752 3.420
3.564 3.119 0.567
K In Ir
1 1 3
Cartesian
0.000 0.000 0.000 K
1.433 1.350 3.631 In
0.932 -1.376 1.710 Ir
1.782 1.559 0.283 Ir
-1.282 1.167 1.638 Ir
```


A plane-wave DFT calculation with PBE was carried out for a geometry-optimized YTiSb structure.

## Properties
- space group = P4/nmm, No. 129
- E_tot (eV/cell) = -41.51
- energy relative to the elements, uncorrected (meV per atom) = -759

Geometry as POSCAR:
```
YTiSb
1.0
-0.274 2.406 -3.435
-3.668 1.532 1.366
3.846 5.838 3.783
Y Sb Ti
2 2 2
Cartesian
1.433 5.724 3.896 Y
0.442 2.083 -1.147 Y
2.739 5.568 1.111 Sb
-0.863 2.239 1.638 Sb
-0.048 4.888 0.857 Ti
1.923 2.919 1.891 Ti
```


A plane-wave DFT calculation with PBE was carried out for a geometry-optimized Co2Sn2Ge structure.

## Properties
- space group = P4/mbm, No. 127
- E_tot (eV/cell) = -52.03
- excess energy over the best structure of this formula in the dataset (eV/atom) = 0.0000

Geometry as POSCAR:
```
Co2Sn2Ge
1.0
-5.830 -3.439 -3.074
0.447 -5.352 5.140
-1.861 1.559 1.785
Co Ge Sn
4 2 4
Cartesian
-3.664 -2.944 -1.249 Co
-0.650 -2.410 1.426 Co
-4.732 -6.382 0.640 Co
-1.718 -5.847 3.315 Co
-2.691 -4.396 1.033 Ge
0.000 0.000 0.000 Ge
-2.858 -1.241 0.647 Sn
-5.690 -3.954 0.064 Sn
-1.553 -3.278 3.787 Sn
-4.384 -5.992 3.204 Sn
```


A plane-wave DFT calculation with PBE was carried out for a geometry-optimized TaMo2Pb structure.

## Properties
- space group = Cmm2, No. 35
- E_tot (eV/cell) = -35.59

Geometry as POSCAR:
```
TaMo2Pb
1.0
-1.817 -0.955 2.152
-0.372 -1.567 -2.500
6.363 -5.904 2.753
Mo Pb Ta
2 1 1
Cartesian
0.029 -0.027 0.012 Mo
0.356 -2.607 0.454 Mo
3.147 -2.921 1.362 Pb
3.822 -5.824 1.953 Ta
```


A plane-wave DFT calculation with PBE was carried out for a geometry-optimized LaTiAl2 structure.

## Properties
- space group = P4/mmm, No. 123
- E_tot (eV/cell) = -21.37
- excess energy over the best structure of this formula in the dataset (eV/atom) = 0.0000

Geometry as POSCAR:
```
LaTiAl2
1.0
-0.337 2.430 2.490
0.938 -2.345 2.416
6.737 1.811 -0.857
Al Ti La
2 1 1
Cartesian
5.445 1.464 -0.692 Al
1.293 0.348 -0.164 Al
0.300 0.043 2.453 Ti
3.669 0.948 2.025 La
```


A plane-wave DFT calculation with PBE was carried out for a geometry-optimized AlCdO3 structure.

## Properties
- space group = Pm-3m, No. 221
- E_tot (eV/cell) = -27.70
- energy relative to the elements, uncorrected (meV per atom) = -1634

Geometry as POSCAR:
```
AlCdO3
1.0
3.708 0.000 0.000
0.000 3.708 0.000
0.000 0.000 3.708
O Cd Al
3 1 1
Cartesian
1.854 0.000 0.000 O
0.000 0.000 1.854 O
0.000 1.854 0.000 O
1.854 1.854 1.854 Cd
0.000 0.000 0.000 Al
```


A plane-wave DFT calculation with PBE was carried out for a geometry-optimized Ba2PrAg structure.

## Properties
- space group = P4/mmm, No. 123
- E_tot (eV/cell) = -11.40
- excess energy over the best structure of this formula in the dataset (eV/atom) = 0.0000

Geometry as POSCAR:
```
Ba2PrAg
1.0
4.028 0.000 0.000
0.000 4.028 0.000
0.000 0.000 10.117
Ba Ag Pr
2 1 1
Cartesian
0.000 0.000 8.053 Ba
0.000 0.000 2.064 Ba
2.014 2.014 0.000 Ag
2.014 2.014 5.058 Pr
```


A plane-wave DFT calculation with PBE was carried out for a geometry-optimized SbIN structure.

## Properties
- space group = P-1, No. 2
- E_tot (eV/cell) = -25.51
- excess energy over the best structure of this formula in the dataset (eV/atom) = 0.0000
- energy relative to the elements, uncorrected (meV per atom) = 414

Geometry as POSCAR:
```
SbIN
1.0
-0.317 -3.401 0.558
1.476 1.596 7.736
-5.930 1.227 4.094
Sb N I
2 2 2
Cartesian
-2.853 -0.120 10.909 Sb
-1.918 -0.458 1.479 Sb
-2.562 1.379 9.476 N
-2.209 -1.957 2.912 N
-0.211 -1.107 6.413 I
-4.560 0.529 5.976 I
```


A plane-wave DFT calculation with PBE was carried out for a geometry-optimized CsInGe3 structure.

## Properties
- space group = Pm-3m, No. 221
- E_tot (eV/cell) = -14.45
- excess energy over the best structure of this formula in the dataset (eV/atom) = 0.0000

Geometry as POSCAR:
```
CsInGe3
1.0
-4.387 -0.356 -3.350
-0.436 -5.394 1.145
-3.340 1.172 4.250
In Ge Cs
1 3 1
Cartesian
0.000 0.000 0.000 In
-0.218 -2.697 0.572 Ge
-2.194 -0.178 -1.675 Ge
-1.670 0.586 2.125 Ge
-4.082 -2.289 1.023 Cs
```


A plane-wave DFT calculation with PBE was carried out for a geometry-optimized Ta2NbP structure.

## Properties
- space group = Fm-3m, No. 225
- E_tot (eV/cell) = -38.84
- excess energy over the best structure of this formula in the dataset (eV/atom) = 0.6875

Geometry as POSCAR:
```
Ta2NbP
1.0
-1.069 -2.897 3.334
-4.342 -0.561 1.217
-2.147 -3.886 -0.968
P Ta Nb
1 2 1
Cartesian
0.000 0.000 0.000 P
-1.889 -1.836 0.896 Ta
-5.668 -5.508 2.687 Ta
-3.779 -3.672 1.791 Nb
```


A plane-wave DFT calculation with PBE was carried out for a geometry-optimized CsScCo2 structure.

## Properties
- space group = Fm-3m, No. 225
- E_tot (eV/cell) = -16.77
- excess energy over the best structure of this formula in the dataset (eV/atom) = 0.1892

Geometry as POSCAR:
```
CsScCo2
1.0
-1.953 1.264 4.263
-0.225 4.681 1.276
-4.287 2.279 0.127
Co Cs Sc
2 1 1
Cartesian
-1.616 2.056 1.416 Co
-4.849 6.168 4.249 Co
-3.233 4.112 2.833 Cs
0.000 0.000 0.000 Sc
```


A plane-wave DFT calculation with PBE was carried out for a geometry-optimized CaLa2NbN4 structure.

## Properties
- space group = Cmcm, No. 63
- E_tot (eV/cell) = -127.25
- energy relative to the elements, uncorrected (meV per atom) = -1050

Geometry as POSCAR:
```
CaLa2NbN4
1.0
3.527 0.000 0.000
-1.764 6.111 0.000
0.000 0.000 13.090
Ca N La Nb
2 8 4 2
Cartesian
1.764 4.741 3.273 Ca
0.000 1.370 9.818 Ca
0.000 0.000 0.000 N
0.000 0.000 6.545 N
0.000 5.232 9.818 N
0.000 3.224 4.749 N
1.764 2.887 11.294 N
0.000 3.224 1.796 N
1.764 2.887 8.342 N
1.764 0.879 3.273 N
0.000 4.484 6.942 La
0.000 4.484 12.694 La
1.764 1.626 6.149 La
1.764 1.626 0.396 La
1.764 4.132 9.818 Nb
0.000 1.979 3.273 Nb
```


A plane-wave DFT calculation with PBE was carried out for a geometry-optimized TiBeCd structure.

## Properties
- space group = P4/nmm, No. 129
- E_tot (eV/cell) = -25.03
- excess energy over the best structure of this formula in the dataset (eV/atom) = 0.0885

Geometry as POSCAR:
```
TiBeCd
1.0
2.807 0.000 0.000
0.000 2.807 0.000
0.000 0.000 11.684
Be Ti Cd
2 2 2
Cartesian
0.000 1.403 6.375 Be
1.403 0.000 5.310 Be
1.403 0.000 8.091 Ti
0.000 1.403 3.593 Ti
1.403 0.000 1.269 Cd
0.000 1.403 10.415 Cd
```


A plane-wave DFT calculation with PBE was carried out for a geometry-optimized LiMnCl2 structure.

## Properties
- space group = Immm, No. 71
- E_tot (eV/cell) = -17.80
- excess energy over the best structure of this formula in the dataset (eV/atom) = 0.2060
- energy relative to the elements, uncorrected (meV per atom) = -756

Geometry as POSCAR:
```
LiMnCl2
1.0
5.446 -0.092 0.059
-0.708 5.401 -0.059
-0.407 -4.406 3.177
Mn Cl Li
1 2 1
Cartesian
0.627 1.825 1.559 Mn
0.008 0.009 0.000 Cl
2.361 2.646 0.000 Cl
3.704 -0.922 1.618 Li
```


A plane-wave DFT calculation with PBE was carried out for a geometry-optimized Pr3Nd2Tl4 structure.

## Properties
- space group = Cmce, No. 64
- E_tot (eV/cell) = -70.77
- excess energy over the best structure of this formula in the dataset (eV/atom) = 0.0885

Geometry as POSCAR:
```
Pr3Nd2Tl4
1.0
-2.528 7.054 -0.342
-8.041 -2.642 4.938
5.006 -1.847 7.165
Nd Tl Pr
4 8 6
Cartesian
-1.827 3.697 7.498 Nd
-3.735 -1.132 4.263 Nd
2.441 1.157 5.824 Nd
-8.004 1.408 5.937 Nd
-1.501 -0.217 6.631 Tl
-3.061 1.399 10.349 Tl
-6.378 -1.922 7.499 Tl
-4.061 2.781 5.130 Tl
-2.502 1.166 1.411 Tl
-3.766 4.693 1.240 Tl
-1.797 -2.128 10.520 Tl
0.816 4.487 4.261 Tl
-1.004 1.838 4.210 Pr
0.000 0.000 0.000 Pr
-5.284 2.206 2.298 Pr
-3.294 -2.800 7.722 Pr
-4.558 0.727 7.551 Pr
-2.268 5.365 4.039 Pr
```


A plane-wave DFT calculation with PBE was carried out for a geometry-optimized TbMgTl structure.

## Properties
- space group = P-6m2, No. 187
- E_tot (eV/cell) = -9.35

Geometry as POSCAR:
```
TbMgTl
1.0
3.658 0.000 0.000
0.000 4.954 0.000
0.000 -2.477 4.290
Tl Mg Tb
1 1 1
Cartesian
0.610 0.000 2.860 Tl
0.609 0.000 0.000 Mg
2.440 2.477 1.430 Tb
```


A plane-wave DFT calculation with PBE was carried out for a geometry-optimized CaSi2H structure.

## Properties
- space group = Cm, No. 8
- E_tot (eV/cell) = -68.42
- excess energy over the best structure of this formula in the dataset (eV/atom) = 0.0530

Geometry as POSCAR:
```
CaSi2H
1.0
4.679 0.000 0.000
0.000 3.915 0.000
-1.217 0.000 15.430
Si H Ca
8 4 4
Cartesian
4.209 1.957 2.642 Si
3.475 1.957 13.846 Si
3.414 1.957 7.419 Si
4.083 0.000 6.131 Si
3.574 0.000 3.804 Si
3.601 0.000 10.358 Si
2.965 1.957 11.519 Si
2.806 0.000 15.134 Si
1.985 0.000 3.838 H
-0.030 1.957 8.375 H
0.579 0.000 0.660 H
1.377 1.957 11.553 H
0.900 0.000 12.676 Ca
1.509 1.957 4.961 Ca
1.261 0.000 8.493 Ca
1.869 1.957 0.778 Ca
```


A plane-wave DFT calculation with PBE was carried out for a geometry-optimized RbVHg2S4 structure.

## Properties
- space group = Fmm2, No. 42
- E_tot (eV/cell) = -31.64
- energy relative to the elements, uncorrected (meV per atom) = -555

Geometry as POSCAR:
```
RbVHg2S4
1.0
7.197 0.266 0.000
-0.331 7.194 0.000
-3.433 -3.730 4.252
Rb Hg S V
1 2 4 1
Cartesian
3.433 3.730 4.168 Rb
-0.166 3.597 2.529 Hg
3.598 0.133 2.529 Hg
2.129 4.930 1.075 S
-1.254 -1.363 2.872 S
4.736 2.531 1.075 S
1.254 1.363 2.872 S
0.000 0.000 4.143 V
```